Computed, not measured: a geometry-optimized UGaPb structure at the PBE-GGA level of DFT.

abc: 5.4844 6.0521 6.3448
angles: 78.71 64.39 63.06
Sites, in units of the cell vectors:
Ga  0.7496  0.0000  0.5009
Ga  0.2504  0.0000  0.4991
Pb  0.8271  0.3458  0.0000
U  0.2500  0.5000  0.5000
U  0.7500  0.5000  0.5000
Pb  0.1729  0.6542  0.0000

Computed properties:
E_form (eV per atom): 0.210
Mass density (g/cm3): 10.10